Nb6Mo3Rh (GGA-PBE, relaxed); raw total energy = -10.21 eV/atom; total magnetic moment = 0.00 μB per formula unit
1.0
7.9610 0.0000 0.0000
0.0000 4.5870 0.0000
-2.6529 0.0000 9.3494
Nb Mo Rh
12 6 2
Cartesian
-0.6943 1.1467 3.7263 Nb
0.6112 3.4402 1.8401 Nb
-0.6658 1.1467 9.3196 Nb
0.6292 3.4402 7.4834 Nb
2.0058 1.1467 2.7651 Nb
1.9609 1.1467 5.6007 Nb
3.3472 3.4402 3.7487 Nb
3.3023 3.4402 6.5843 Nb
4.6788 1.1467 1.8660 Nb
5.9739 3.4402 0.0298 Nb
4.6969 1.1467 7.5093 Nb
6.0024 3.4402 5.6231 Nb
-1.9758 3.4402 8.4190 Mo
-0.6402 1.1467 6.5647 Mo
0.6816 3.4402 4.6627 Mo
4.6265 1.1467 4.6867 Mo
5.9482 3.4402 2.7847 Mo
7.2838 1.1467 0.9304 Mo
3.3128 3.4402 0.9330 Rh
1.9952 1.1467 8.4164 Rh